Li2MgB: relaxed, PBE.

**ΔE_f**: 2.1 eV/f.u.
**SG**: I-42d, No. 122

Cell lengths 3.5580, 3.5580, 9.3376 Å; angles 79.02, 79.02, 90.00 degrees
With the nearest neighbours (Å) after each atom.
Positions (direct):
1 Mg 0.0000 0.0000 0.0000  4 B 2.52, 4 Li 2.65
2 B 0.5000 0.5000 0.0000  4 Mg 2.52, 4 Li 2.52
3 Li 0.3750 0.8228 0.7500  2 Li 2.27, 2 B 2.52
4 B 0.2500 0.7500 0.5000  4 Mg 2.52, 4 Li 2.52
5 Li 0.5728 0.6250 0.2500  2 Li 2.27, 2 B 2.52
6 Mg 0.7500 0.2500 0.5000  4 B 2.52, 4 Li 2.65
7 Li 0.1772 0.1250 0.2500  2 Li 2.27, 2 B 2.52
8 Li 0.8750 0.4272 0.7500  2 Li 2.27, 2 B 2.52

---

VBH3: relaxed, PBE.

**SG**: Pm-3m, No. 221
**E_tot**: -23.2 eV for the cell shown

Cell lengths 2.9755, 2.9755, 2.9755 Å; angles 90.00, 90.00, 90.00 degrees
With the nearest neighbours (Å) after each atom.
Positions (direct):
1 B 0.0000 0.0000 0.0000  6 H 1.49
2 H 0.5000 0.0000 0.0000  2 B 1.49
3 V 0.5000 0.5000 0.5000  12 H 2.10
4 H 0.0000 0.5000 0.0000  2 B 1.49
5 H 0.0000 0.0000 0.5000  2 B 1.49

---

Al2Ni3Pt3: relaxed, PBE.

**ΔE_f**: -4.9 eV/f.u.
**SG**: Pmmm, No. 47

Cell lengths 3.8723, 3.8268, 7.1990 Å; angles 90.00, 90.00, 90.00 degrees
With the nearest neighbours (Å) after each atom.
Positions (direct):
1 Pt 0.5000 0.0000 0.5000  4 Ni 2.66, 4 Al 2.67, 4 Pt 2.72
2 Ni 0.5000 0.5000 0.7576  2 Ni 2.59, 6 Pt 2.61-2.68, 4 Al 2.72
3 Ni 0.5000 0.5000 0.2424  2 Ni 2.59, 6 Pt 2.61-2.68, 4 Al 2.72
4 Al 0.0000 0.0000 0.7552  6 Pt 2.60-2.67, 6 Ni 2.62-2.72
5 Pt 0.0000 0.5000 0.5000  4 Al 2.65, 4 Ni 2.68, 4 Pt 2.72
6 Ni 0.5000 0.0000 0.0000  4 Ni 2.59, 4 Al 2.62, 4 Pt 2.72
7 Al 0.0000 0.0000 0.2448  6 Pt 2.60-2.67, 6 Ni 2.62-2.72
8 Pt 0.0000 0.5000 0.0000  4 Al 2.60, 8 Ni 2.61-2.72

---

ZrSb3F: relaxed, PBE.

**ΔE_f (raw)**: -7 kJ per mole of atoms
**SG**: Pm-3m, No. 221

Cell lengths 5.4716, 5.4716, 5.4716 Å; angles 90.00, 90.00, 90.00 degrees
With the nearest neighbours (Å) after each atom.
Positions (direct):
1 Sb 0.5000 0.0000 0.0000  2 Zr 2.74
2 F 0.5000 0.5000 0.5000  12 Sb 3.87
3 Sb 0.0000 0.0000 0.5000  2 Zr 2.74
4 Zr 0.0000 0.0000 0.0000  6 Sb 2.74
5 Sb 0.0000 0.5000 0.0000  2 Zr 2.74

---

NbCrGa2: relaxed, PBE.

**ΔE_f**: 0.6 eV/f.u.
**SG**: Fm-3m, No. 225

Cell lengths 4.3935, 4.3935, 4.3935 Å; angles 60.00, 60.00, 60.00 degrees
With the nearest neighbours (Å) after each atom.
Positions (direct):
1 Cr 0.0000 0.0000 0.0000  8 Ga 2.69
2 Nb 0.5000 0.5000 0.5000  8 Ga 2.69
3 Ga 0.7500 0.7500 0.7500  4 Nb 2.69, 4 Cr 2.69
4 Ga 0.2500 0.2500 0.2500  4 Nb 2.69, 4 Cr 2.69

---

TbReSi3Rh: relaxed, PBE.

**ΔE_f (raw)**: -36 kJ per mole of atoms
**SG**: Cmcm, No. 63

Cell lengths 5.4764, 7.6366, 6.7867 Å; angles 124.24, 90.00, 90.00 degrees
With the nearest neighbours (Å) after each atom.
Positions (direct):
1 Tb 0.2500 0.7459 0.4918  2 Si 2.74
2 Si 0.0000 0.2509 0.0000  2 Rh 2.41, 2 Re 2.43
3 Rh 0.7500 0.5508 0.1016  5 Si 2.20-2.41
4 Si 0.2500 0.2535 0.5070  1 Rh 2.20, 1 Re 2.25
5 Re 0.7500 0.9467 0.8934  5 Si 2.25-2.43
6 Si 0.5000 0.7491 0.0000  2 Rh 2.41, 2 Re 2.43
7 Rh 0.2500 0.4492 0.8984  5 Si 2.20-2.41
8 Si 0.0000 0.7491 0.0000  2 Rh 2.41, 2 Re 2.43
9 Si 0.7500 0.7465 0.4930  1 Rh 2.20, 1 Re 2.25
10 Re 0.2500 0.0533 0.1066  5 Si 2.25-2.43
11 Tb 0.7500 0.2541 0.5082  2 Si 2.74
12 Si 0.5000 0.2509 0.0000  2 Rh 2.41, 2 Re 2.43

---

Number 1: magnetic moment 0.0 μB/f.u., V 14.23 A^3/atom, N(E_F) 1.96 states/eV/cell. Number 2: magnetic moment 0.5 μB/f.u., V 5.27 A^3/atom, N(E_F) 2.03 states/eV/cell. Number 3: magnetic moment 1.3 μB/f.u., V 13.33 A^3/atom, N(E_F) 6.80 states/eV/cell. Number 4: magnetic moment 0.0 μB/f.u., V 32.76 A^3/atom, N(E_F) 3.08 states/eV/cell. Number 5: magnetic moment 0.0 μB/f.u., V 14.99 A^3/atom, N(E_F) 3.85 states/eV/cell. Number 6: magnetic moment 0.0 μB/f.u., V 19.55 A^3/atom, N(E_F) 4.76 states/eV/cell.